A plane-wave DFT calculation with PBE-GGA was carried out for Pm5Ag4Os after structural relaxation.

The calculation puts the raw total energy at -4.855 eV/atom. Its magnetic moment is 0.00 μB per cell. The value obtained for the density is 9.0 g/cm3. Its formation energy is -0.22 eV per atom.

The structure belongs to space group P4/mmm (No. 123); the cell edges are 3.595, 3.595 and 19.277 Å and the angles 90.00°, 90.00° and 90.00°. Symmetry generates all atoms from Pm at (0.000, 0.000, 0.000), Pm at (0.000, 0.000, 0.203), Pm at (0.000, 0.000, 0.412), Ag at (0.500, 0.500, 0.102), Ag at (0.500, 0.500, 0.304) and Os at (0.500, 0.500, 0.500).

A plane-wave DFT calculation with PBE-GGA was carried out for Ce2AuI after structural relaxation.

The calculation puts the raw total energy at -4.832 eV/atom. As for the raw formation energy: -0.6579 eV per atom. Its magnetic moment is 7.46 μB per cell. The value obtained for the polymorph energy (0 for the lowest one) is 13.3 meV per atom. The value obtained for the density is 8.0 g/cm3.

The structure belongs to space group R3m (No. 160, hexagonal axes); the cell edges are 4.1986, 4.1986 and 24.6878 Å and the angles 90.00°, 90.00° and 120.00°. Symmetry generates all atoms from Ce at (0.0000, 0.0000, 0.0000), Ce at (0.0000, 0.0000, 0.1911), Au at (0.0000, 0.0000, 0.5947) and I at (0.0000, 0.0000, 0.7624).

A plane-wave DFT calculation with PBE-GGA was carried out for RbFeIr3 after structural relaxation.

The calculation puts the raw total energy at -3.417 eV/atom. Its magnetic moment is 1.60 μB per cell. The value obtained for the polymorph energy (0 for the lowest one) is 2368.6 meV per atom. The value obtained for the density is 10.9 g/cm3. Its formation energy is 3.79 eV per atom.

The structure belongs to space group Pm-3m (No. 221); the cell edges are 4.780, 4.780 and 4.780 Å and the angles 90.00°, 90.00° and 90.00°. Symmetry generates all atoms from Rb at (0.000, 0.000, 0.000), Fe at (0.500, 0.500, 0.500) and Ir at (0.000, 0.000, 0.500).

A plane-wave DFT calculation with PBE-GGA was carried out for Cs2CeS2Br2 after structural relaxation.

The calculation puts the raw total energy at -4.475 eV/atom. As for the raw formation energy: -1.7267 eV per atom. Its magnetic moment is 0.33 μB per cell. The value obtained for the density is 3.9 g/cm3.

The structure belongs to space group I4/mmm (No. 139); the cell edges are 5.376, 5.376 and 18.519 Å and the angles 90.00°, 90.00° and 90.00°. Symmetry generates all atoms from Cs at (0.000, 0.000, 0.136), Ce at (0.000, 0.000, 0.500), S at (0.000, 0.500, 0.000) and Br at (0.000, 0.000, 0.341).

A plane-wave DFT calculation with PBE-GGA was carried out for YTcPCl2 after structural relaxation.

The calculation puts the raw total energy at -5.211 eV/atom. As for the raw formation energy: -0.0241 eV per atom. Its magnetic moment is 4.91 μB per cell. The value obtained for the polymorph energy (0 for the lowest one) is 239.4 meV per atom. The value obtained for the density is 3.3 g/cm3.

The structure belongs to space group P4/mmm (No. 123); the cell edges are 5.077, 5.077 and 5.671 Å and the angles 90.00°, 90.00° and 90.00°. Symmetry generates all atoms from Y at (0.000, 0.000, 0.000), Tc at (0.500, 0.500, 0.500), P at (0.000, 0.000, 0.500) and Cl at (0.000, 0.500, 0.000).

A plane-wave DFT calculation with PBE-GGA was carried out for LaTbErAg after structural relaxation.

The calculation puts the raw total energy at -4.187 eV/atom. Its magnetic moment is 0.03 μB per cell. The value obtained for the polymorph energy (0 for the lowest one) is 182.7 meV per atom. The value obtained for the density is 8.2 g/cm3. Its formation energy is 0.06 eV per atom.

The structure belongs to space group F-43m (No. 216); the cell edges are 7.733, 7.733 and 7.733 Å and the angles 90.00°, 90.00° and 90.00°. Symmetry generates all atoms from La at (0.000, 0.000, 0.000), Tb at (0.000, 0.000, 0.500), Er at (0.250, 0.250, 0.250) and Ag at (0.250, 0.250, 0.750).

A plane-wave DFT calculation with PBE-GGA was carried out for La8Pr5Er after structural relaxation.

The calculation puts the raw total energy at -4.631 eV/atom. Its magnetic moment is 0.00 μB per cell. The value obtained for the density is 6.4 g/cm3. Its formation energy is 0.22 eV per atom.

The structure belongs to space group I-4 (No. 82); the cell edges are 10.015, 10.015 and 10.313 Å and the angles 90.00°, 90.00° and 90.00°. Symmetry generates all atoms from La at (0.068, 0.168, 0.340), La at (0.080, 0.312, 0.004), Pr at (0.000, 0.500, 0.250), Pr at (0.102, 0.294, 0.672) and Er at (0.000, 0.000, 0.000).

A plane-wave DFT calculation with PBE-GGA was carried out for CrIn2Rh after structural relaxation.

The calculation puts the raw total energy at -5.444 eV/atom. Its magnetic moment is 11.88 μB per cell. The value obtained for the polymorph energy (0 for the lowest one) is 217.4 meV per atom. The value obtained for the density is 8.4 g/cm3. Its formation energy is 0.17 eV per atom.

The structure belongs to space group R-3m (No. 166, hexagonal axes); the cell edges are 3.1949, 3.1949 and 25.7662 Å and the angles 90.00°, 90.00° and 120.00°. Symmetry generates all atoms from Cr at (0.0000, 0.0000, 0.0000), In at (0.0000, 0.0000, 0.2460) and Rh at (0.0000, 0.0000, 0.5000).

A plane-wave DFT calculation with PBE-GGA was carried out for EuDyTmCd after structural relaxation.

The calculation puts the raw total energy at -5.070 eV/atom. Its magnetic moment is 28.22 μB per cell. The value obtained for the density is 8.3 g/cm3. Its formation energy is 0.00 eV per atom.

The structure belongs to space group F-43m (No. 216); the cell edges are 7.809, 7.809 and 7.809 Å and the angles 90.00°, 90.00° and 90.00°. Symmetry generates all atoms from Eu at (0.000, 0.000, 0.000), Dy at (0.000, 0.000, 0.500), Tm at (0.250, 0.250, 0.750) and Cd at (0.250, 0.250, 0.250).

A plane-wave DFT calculation with PBE-GGA was carried out for Ti2Nb5Ga3 after structural relaxation.

The calculation puts the raw total energy at -7.384 eV/atom. Its magnetic moment is 0.00 μB per cell. The value obtained for the density is 6.9 g/cm3. Its formation energy is 0.14 eV per atom.

The structure belongs to space group Ibam (No. 72); the cell edges are 10.368, 13.525 and 5.311 Å and the angles 90.00°, 90.00° and 90.00°. Symmetry generates all atoms from Ti at (0.128, 0.206, 0.000), Nb at (0.000, 0.000, 0.250), Nb at (0.069, 0.337, 0.500), Nb at (0.244, 0.500, 0.250), Ga at (0.000, 0.500, 0.250) and Ga at (0.147, 0.154, 0.500).

A plane-wave DFT calculation with PBE-GGA was carried out for PrP2Pd after structural relaxation.

The calculation puts the raw total energy at -6.003 eV/atom. Its magnetic moment is 0.00 μB per cell. The value obtained for the density is 5.9 g/cm3. Its formation energy is -0.81 eV per atom.

The structure belongs to space group P4_1 (No. 76); the cell edges are 4.388, 4.388 and 18.020 Å and the angles 90.00°, 90.00° and 90.00°. Symmetry generates all atoms from Pr at (0.132, 0.747, 0.000), P at (0.153, 0.636, 0.383), P at (0.195, 0.392, 0.733) and Pd at (0.242, 0.656, 0.606).

A plane-wave DFT calculation with PBE-GGA was carried out for YBe2In after structural relaxation.

The calculation puts the raw total energy at -3.943 eV/atom. Its magnetic moment is 0.00 μB per cell. The value obtained for the density is 4.5 g/cm3. Its formation energy is 0.22 eV per atom.

The structure belongs to space group I4_1/amd (No. 141, origin choice 2); the cell edges are 4.440, 4.440 and 16.518 Å and the angles 90.00°, 90.00° and 90.00°. Symmetry generates all atoms from Y at (0.000, 0.250, 0.375), Be at (0.000, 0.000, 0.000) and In at (0.000, 0.250, 0.875).

A plane-wave DFT calculation with PBE-GGA was carried out for SmErTlSn after structural relaxation.

The calculation puts the raw total energy at -4.366 eV/atom. Its magnetic moment is 0.01 μB per cell. The value obtained for the density is 9.6 g/cm3. Its formation energy is -0.45 eV per atom.

The structure belongs to space group F-43m (No. 216); the cell edges are 7.616, 7.616 and 7.616 Å and the angles 90.00°, 90.00° and 90.00°. Symmetry generates all atoms from Sm at (0.000, 0.000, 0.000), Er at (0.000, 0.000, 0.500), Tl at (0.250, 0.250, 0.750) and Sn at (0.250, 0.250, 0.250).

A plane-wave DFT calculation with PBE-GGA was carried out for Tb2Dy3Er5 after structural relaxation.

The calculation puts the raw total energy at -4.539 eV/atom. Its magnetic moment is 0.01 μB per cell. The value obtained for the polymorph energy (0 for the lowest one) is 0.0 meV per atom. The value obtained for the density is 8.8 g/cm3. Its formation energy is 0.05 eV per atom.

The structure belongs to space group C2/c (No. 15); the cell edges are 11.833, 16.054 and 6.540 Å and the angles 90.00°, 94.42° and 90.00°. Symmetry generates all atoms from Tb at (0.126, 0.152, 0.124), Dy at (0.000, 0.038, 0.750), Dy at (0.125, 0.251, 0.624), Er at (0.000, 0.463, 0.750), Er at (0.124, 0.348, 0.124) and Er at (0.249, 0.462, 0.499).

A plane-wave DFT calculation with PBE-GGA was carried out for SrFeAsI2 after structural relaxation.

The calculation puts the raw total energy at -3.907 eV/atom. As for the raw formation energy: -0.3285 eV per atom. Its magnetic moment is 0.00 μB per cell. The value obtained for the density is 5.6 g/cm3.

The structure belongs to space group P4/mmm (No. 123); the cell edges are 5.567, 5.567 and 4.482 Å and the angles 90.00°, 90.00° and 90.00°. Symmetry generates all atoms from Sr at (0.000, 0.000, 0.000), Fe at (0.500, 0.500, 0.500), As at (0.500, 0.500, 0.000) and I at (0.000, 0.500, 0.500).

A plane-wave DFT calculation with PBE-GGA was carried out for V3PtSe after structural relaxation.

The calculation puts the raw total energy at -6.833 eV/atom. As for the raw formation energy: 0.5436 eV per atom. Its magnetic moment is 3.64 μB per cell. The value obtained for the polymorph energy (0 for the lowest one) is 0.0 meV per atom. The value obtained for the density is 8.1 g/cm3.

The structure belongs to space group Pm-3m (No. 221); the cell edges are 4.445, 4.445 and 4.445 Å and the angles 90.00°, 90.00° and 90.00°. Symmetry generates all atoms from V at (0.000, 0.000, 0.500), Pt at (0.500, 0.500, 0.500) and Se at (0.000, 0.000, 0.000).

A plane-wave DFT calculation with PBE-GGA was carried out for Cs3K3CaCl8 after structural relaxation.

The calculation puts the raw total energy at -3.564 eV/atom. As for the raw formation energy: -2.0552 eV per atom. Its magnetic moment is 0.00 μB per cell. The value obtained for the density is 2.4 g/cm3.

The structure belongs to space group R-3m (No. 166, hexagonal axes); the cell edges are 9.1951, 9.1951 and 23.8986 Å and the angles 90.00°, 90.00° and 120.00°. Symmetry generates all atoms from Cs at (0.0000, 0.5000, 0.0000), K at (0.0000, 0.5000, 0.5000), Ca at (0.0000, 0.0000, 0.5000), Cl at (0.0000, 0.0000, 0.2403) and Cl at (0.0427, 0.5213, 0.2320).

A plane-wave DFT calculation with PBE-GGA was carried out for Pm2Y5Er4 after structural relaxation.

The calculation puts the raw total energy at -5.293 eV/atom. Its magnetic moment is 0.00 μB per cell. The value obtained for the polymorph energy (0 for the lowest one) is 13.8 meV per atom. The value obtained for the density is 6.5 g/cm3. Its formation energy is 0.17 eV per atom.

The structure belongs to space group C2/m (No. 12); the cell edges are 16.549, 6.667 and 6.646 Å and the angles 90.00°, 99.86° and 90.00°. Symmetry generates all atoms from Pm at (0.203, 0.000, 0.298), Y at (0.000, 0.000, 0.500), Y at (0.090, 0.263, 0.909), Er at (0.087, 0.500, 0.405) and Er at (0.244, 0.000, 0.804).

A plane-wave DFT calculation with PBE-GGA was carried out for Rb2NiTeI6 after structural relaxation.

The calculation puts the raw total energy at -2.618 eV/atom. As for the raw formation energy: -0.6023 eV per atom. Its magnetic moment is 0.00 μB per cell. The value obtained for the density is 4.7 g/cm3.

The structure belongs to space group I4/mmm (No. 139); the cell edges are 8.255, 8.255 and 11.666 Å and the angles 90.00°, 90.00° and 90.00°. Symmetry generates all atoms from Rb at (0.000, 0.500, 0.250), Ni at (0.000, 0.000, 0.000), Te at (0.000, 0.000, 0.500), I at (0.000, 0.000, 0.234) and I at (0.232, 0.232, 0.000).

A plane-wave DFT calculation with PBE-GGA was carried out for La3GaO after structural relaxation.

The calculation puts the raw total energy at -5.593 eV/atom. As for the raw formation energy: -1.0394 eV per atom. Its magnetic moment is 0.00 μB per cell. The value obtained for the density is 5.5 g/cm3.

The structure belongs to space group Cmcm (No. 63); the cell edges are 6.867, 11.630 and 7.583 Å and the angles 90.00°, 90.00° and 90.00°. Symmetry generates all atoms from La at (0.000, 0.000, 0.000), La at (0.230, 0.265, 0.250), Ga at (0.000, 0.470, 0.750) and O at (0.000, 0.124, 0.750).

A plane-wave DFT calculation with PBE-GGA was carried out for YGa4Ge after structural relaxation.

The calculation puts the raw total energy at -4.067 eV/atom. Its magnetic moment is 0.00 μB per cell. The value obtained for the polymorph energy (0 for the lowest one) is 0.0 meV per atom. The value obtained for the density is 6.3 g/cm3. Its formation energy is -0.20 eV per atom.

The structure belongs to space group F-43m (No. 216); the cell edges are 7.760, 7.760 and 7.760 Å and the angles 90.00°, 90.00° and 90.00°. Symmetry generates all atoms from Y at (0.000, 0.000, 0.000), Ga at (0.125, 0.125, 0.625) and Ge at (0.250, 0.250, 0.250).

A plane-wave DFT calculation with PBE-GGA was carried out for RbTe2Mo2 after structural relaxation.

The calculation puts the raw total energy at -5.691 eV/atom. As for the raw formation energy: 0.0919 eV per atom. Its magnetic moment is 1.49 μB per cell. The value obtained for the polymorph energy (0 for the lowest one) is 210.6 meV per atom. The value obtained for the density is 6.8 g/cm3.

The structure belongs to space group I4/mmm (No. 139); the cell edges are 5.340, 5.340 and 9.112 Å and the angles 90.00°, 90.00° and 90.00°. Symmetry generates all atoms from Rb at (0.000, 0.000, 0.000), Te at (0.000, 0.500, 0.250) and Mo at (0.000, 0.000, 0.381).

A plane-wave DFT calculation with PBE-GGA was carried out for CaSmMgSc after structural relaxation.

The calculation puts the raw total energy at -3.564 eV/atom. Its magnetic moment is 0.00 μB per cell. The value obtained for the density is 3.6 g/cm3. Its formation energy is 0.10 eV per atom.

The structure belongs to space group F-43m (No. 216); the cell edges are 7.811, 7.811 and 7.811 Å and the angles 90.00°, 90.00° and 90.00°. Symmetry generates all atoms from Ca at (0.000, 0.000, 0.000), Sm at (0.000, 0.000, 0.500), Mg at (0.250, 0.250, 0.750) and Sc at (0.250, 0.250, 0.250).

A plane-wave DFT calculation with PBE-GGA was carried out for InHg2Te4Pb after structural relaxation.

The calculation puts the raw total energy at -2.610 eV/atom. As for the raw formation energy: -0.1577 eV per atom. Its magnetic moment is 0.00 μB per cell. The value obtained for the density is 6.6 g/cm3.

The structure belongs to space group Fmm2 (No. 42); the cell edges are 9.242, 10.974 and 12.159 Å and the angles 90.00°, 90.00° and 90.00°. Symmetry generates all atoms from In at (0.000, 0.000, 0.000), Hg at (0.250, 0.250, 0.231), Te at (0.000, 0.224, 0.885), Te at (0.248, 0.000, 0.143) and Pb at (0.000, 0.000, 0.473).